[1]
VASP calculation (PBE-GGA) on Sc2Tc2W after structural relaxation.

Lattice parameters (Å, degrees): 3.645 3.645 13.289 90.00 90.00 90.00
Element x y z (fractional)
Sc 0.000 0.000 0.097
Sc 0.000 0.000 0.903
Sc 0.500 0.500 0.403
Sc 0.500 0.500 0.597
Tc 0.000 0.500 0.250
Tc 0.000 0.500 0.750
Tc 0.500 0.000 0.250
Tc 0.500 0.000 0.750
W 0.000 0.000 0.500
W 0.500 0.500 0.000

Calculated values
Energy of formation in meV/atom: 833.0
Final energy in eV per atom: -8.435
Total moment in μB per atom: 0.1453
Space-group type: No. 139

***

[2]
VASP calculation (PBE-GGA) on ScTcW after structural relaxation.

Lattice parameters (Å, degrees): 6.143 6.143 6.143 90.00 90.00 90.00
Element x y z (fractional)
Sc 0.000 0.000 0.000
Sc 0.000 0.500 0.500
Sc 0.500 0.000 0.500
Sc 0.500 0.500 0.000
Tc 0.250 0.250 0.250
Tc 0.250 0.750 0.750
Tc 0.750 0.250 0.750
Tc 0.750 0.750 0.250
W 0.000 0.000 0.500
W 0.000 0.500 0.000
W 0.500 0.000 0.000
W 0.500 0.500 0.500

Calculated values
Energy above the lowest structure with this stoichiometry in eV/atom: 0.000
Energy of formation in meV/atom: 389.3
Final energy in eV per atom: -9.494
Total moment in μB per atom: 0.0005
Space-group type: No. 216

***

[3]
VASP calculation (PBE-GGA) on YSc2Tc after structural relaxation.

Lattice parameters (Å, degrees): 6.966 6.966 6.966 90.00 90.00 90.00
Element x y z (fractional)
Y 0.000 0.000 0.000
Y 0.000 0.500 0.500
Y 0.500 0.000 0.500
Y 0.500 0.500 0.000
Sc 0.000 0.000 0.500
Sc 0.000 0.500 0.000
Sc 0.250 0.250 0.250
Sc 0.250 0.750 0.750
Sc 0.500 0.000 0.000
Sc 0.500 0.500 0.500
Sc 0.750 0.250 0.750
Sc 0.750 0.750 0.250
Tc 0.250 0.250 0.750
Tc 0.250 0.750 0.250
Tc 0.750 0.250 0.250
Tc 0.750 0.750 0.750

Calculated values
Energy of formation in meV/atom: 76.8
Final energy in eV per atom: -7.294
Total moment in μB per atom: 0.0003
Space-group type: No. 216

***

[4]
VASP calculation (PBE-GGA) on ScZnTc2 after structural relaxation.

Lattice parameters (Å, degrees): 6.290 6.290 6.290 90.00 90.00 90.00
Element x y z (fractional)
Sc 0.000 0.000 0.000
Sc 0.000 0.500 0.500
Sc 0.500 0.000 0.500
Sc 0.500 0.500 0.000
Zn 0.250 0.250 0.750
Zn 0.250 0.750 0.250
Zn 0.750 0.250 0.250
Zn 0.750 0.750 0.750
Tc 0.000 0.000 0.500
Tc 0.000 0.500 0.000
Tc 0.250 0.250 0.250
Tc 0.250 0.750 0.750
Tc 0.500 0.000 0.000
Tc 0.500 0.500 0.500
Tc 0.750 0.250 0.750
Tc 0.750 0.750 0.250

Calculated values
Energy of formation in meV/atom: -130.1
Final energy in eV per atom: -7.209
Total moment in μB per atom: 0.0014
Space-group type: No. 216

***

[5]
VASP calculation (PBE-GGA) on Sc2ZnTc2 after structural relaxation.

Lattice parameters (Å, degrees): 3.538 3.538 15.493 90.00 90.00 90.00
Element x y z (fractional)
Sc 0.000 0.000 0.104
Sc 0.000 0.000 0.896
Sc 0.500 0.500 0.396
Sc 0.500 0.500 0.604
Zn 0.000 0.000 0.500
Zn 0.500 0.500 0.000
Tc 0.000 0.500 0.250
Tc 0.000 0.500 0.750
Tc 0.500 0.000 0.250
Tc 0.500 0.000 0.750

Calculated values
Energy of formation in meV/atom: 91.0
Final energy in eV per atom: -6.838
Total moment in μB per atom: 0.0048
Space-group type: No. 139

***

[6]
VASP calculation (PBE-GGA) on ScZnTc2 after structural relaxation.

Lattice parameters (Å, degrees): 6.290 6.290 6.290 90.00 90.00 90.00
Element x y z (fractional)
Sc 0.000 0.000 0.000
Sc 0.000 0.500 0.500
Sc 0.500 0.000 0.500
Sc 0.500 0.500 0.000
Zn 0.250 0.250 0.250
Zn 0.250 0.750 0.750
Zn 0.750 0.250 0.750
Zn 0.750 0.750 0.250
Tc 0.000 0.000 0.500
Tc 0.000 0.500 0.000
Tc 0.250 0.250 0.750
Tc 0.250 0.750 0.250
Tc 0.500 0.000 0.000
Tc 0.500 0.500 0.500
Tc 0.750 0.250 0.250
Tc 0.750 0.750 0.750

Calculated values
Energy of formation in meV/atom: -130.1
Final energy in eV per atom: -7.209
Total moment in μB per atom: 0.0016
Space-group type: No. 216

***

[7]
VASP calculation (PBE-GGA) on ZrSc2Tc2 after structural relaxation.

Lattice parameters (Å, degrees): 4.060 4.060 12.095 90.00 90.00 90.00
Element x y z (fractional)
Zr 0.000 0.000 0.000
Zr 0.500 0.500 0.500
Sc 0.000 0.500 0.250
Sc 0.000 0.500 0.750
Sc 0.500 0.000 0.250
Sc 0.500 0.000 0.750
Tc 0.000 0.000 0.404
Tc 0.000 0.000 0.596
Tc 0.500 0.500 0.096
Tc 0.500 0.500 0.904

Calculated values
Energy of formation in meV/atom: 208.7
Final energy in eV per atom: -8.176
Total moment in μB per atom: 0.0012
Space-group type: No. 139

***

[8]
VASP calculation (PBE-GGA) on TmScTlTe3 after structural relaxation.

Lattice parameters (Å, degrees): 7.988 7.988 11.654 90.00 90.00 148.54
Element x y z (fractional)
Tm 0.000 0.000 0.000
Tm 0.000 0.000 0.500
Sc 0.445 0.555 0.750
Sc 0.555 0.445 0.250
Tl 0.248 0.752 0.250
Tl 0.752 0.248 0.750
Te 0.065 0.935 0.750
Te 0.361 0.639 0.538
Te 0.361 0.639 0.962
Te 0.639 0.361 0.038
Te 0.639 0.361 0.462
Te 0.935 0.065 0.250

Calculated values
Final energy in eV per atom: -4.716
Total moment in μB per atom: 0.0025
Space-group type: No. 63